Below is a geometry-optimized MnPd3Au4 structure, with properties calculated at the PBE level.

It has space group C2/m (No. 12), with a = 23.096 Å, b = 2.917 Å, c = 4.207 Å, α = 90.00°, β = 94.79° and γ = 90.00°. The inequivalent atoms are Mn at (0.000, 0.000, 0.000), Pd at (0.000, 0.500, 0.500), Pd at (0.156, 0.500, 0.204), Au at (0.099, 0.000, 0.681) and Au at (0.220, 0.000, 0.735).

As for the energy above the most stable polymorph in this dataset: 9 meV per atom. Its spin magnetization is 4.7 μB/f.u. For the formation energy from the elements, the calculation gives 0.039 eV per atom.

Below is a geometry-optimized Mn6Pd12Au structure, with properties calculated at the PBE level.

It has space group R-3 (No. 148, hexagonal axes), with a = 10.0966 Å, b = 10.0966 Å, c = 9.5690 Å, α = 90.00°, β = 90.00° and γ = 120.00°. The inequivalent atoms are Mn at (0.0280, 0.2169, 0.0083), Pd at (0.0258, 0.4585, 0.1326), Pd at (0.0701, 0.8842, 0.7524) and Au at (0.0000, 0.0000, 0.5000).

Its spin magnetization is 0.0 μB/f.u. For the formation energy from the elements, the calculation gives 0.195 eV per atom.

Below is a geometry-optimized Mn2Pd2Au5 structure, with properties calculated at the PBE level.

It has space group Amm2 (No. 38), with a = 8.325 Å, b = 4.600 Å, c = 8.052 Å, α = 90.00°, β = 90.00° and γ = 90.00°. The inequivalent atoms are Mn at (0.000, 0.000, 0.000), Mn at (0.500, 0.000, 0.335), Pd at (0.166, 0.000, 0.664), Au at (0.170, 0.000, 0.333), Au at (0.329, 0.000, 0.999) and Au at (0.500, 0.000, 0.667).

As for the energy above the most stable polymorph in this dataset: 80 meV per atom. Its spin magnetization is 9.0 μB/f.u. For the formation energy from the elements, the calculation gives -0.051 eV per atom.